Record 1
Material: Sr2BeSnPd6
Method: DFT, PBE-GGA
State: optimized geometry

Results
Mass density: 7.509 g/cm3
Fermi-level density of states: 4.0 states/eV/f.u.
DFT total energy: -47.849 eV/f.u.
Formation energy: -560 meV per atom

a b c (Å): 6.144 7.275 7.247
angles (deg): 50.36 64.91 90.00
Fractional positions:
Pd (0.196, 0.264, 0.069)
Pd (0.736, 0.808, 0.527)
Pd (0.264, 0.192, 0.473)
Pd (0.735, 0.264, 0.069)
Pd (0.265, 0.736, 0.931)
Pd (0.804, 0.736, 0.931)
Sn (0.000, 0.000, 0.000)
Sr (0.271, 0.728, 0.459)
Sr (0.729, 0.272, 0.541)
Be (0.500, 0.500, 0.000)



Record 2
Material: Tb2BeSnPd6
Method: DFT, PBE-GGA
State: optimized geometry

Results
Mass density: 8.935 g/cm3
Fermi-level density of states: 4.3 states/eV/f.u.
DFT total energy: -54.436 eV/f.u.
Formation energy: -629 meV per atom

a b c (Å): 5.871 7.571 5.883
angles (deg): 66.80 60.02 90.22
Fractional positions:
Pd (0.739, 0.683, 0.047)
Pd (0.781, 0.314, 0.955)
Pd (0.738, 0.679, 0.528)
Pd (0.261, 0.317, 0.953)
Pd (0.262, 0.321, 0.472)
Pd (0.219, 0.686, 0.045)
Tb (0.759, 0.287, 0.479)
Tb (0.241, 0.713, 0.521)
Sn (0.000, 0.000, 0.000)
Be (0.500, 0.500, 0.000)



Record 3
Material: BeTc2SnPd
Method: DFT, PBE-GGA
State: optimized geometry

Results
Mass density: 6.046 g/cm3
Fermi-level density of states: 4.4 states/eV/f.u.
DFT total energy: -24.453 eV/f.u.
Formation energy: 1840 meV per atom

a b c (Å): 4.919 4.919 4.882
angles (deg): 90.00 90.00 90.00
Site moments in Bohr magnetons follow the coordinates.
Fractional positions:
Pd (0.000, 0.000, 0.000)  0.35
Sn (0.000, 0.000, 0.500)  -0.07
Be (0.500, 0.500, 0.500)  -0.08
Tc (0.500, 0.000, 0.000)  2.49
Tc (0.000, 0.500, 0.000)  2.49



Record 4
Material: Th2BeSnPd6
Method: DFT, PBE-GGA
State: optimized geometry

Results
Mass density: 10.448 g/cm3
Fermi-level density of states: 5.5 states/eV/f.u.
DFT total energy: -60.372 eV/f.u.
Formation energy: -665 meV per atom

a b c (Å): 5.785 7.660 7.498
angles (deg): 44.73 67.29 89.98
Fractional positions:
Be (0.000, 0.000, 0.000)
Pd (0.828, 0.310, 0.833)
Pd (0.662, 0.690, 0.167)
Pd (0.206, 0.136, 0.589)
Pd (0.338, 0.310, 0.833)
Pd (0.794, 0.864, 0.411)
Pd (0.172, 0.690, 0.167)
Sn (0.500, 0.500, 0.000)
Th (0.266, 0.822, 0.467)
Th (0.734, 0.178, 0.533)